(1)
A plane-wave DFT calculation with PBE-GGA was carried out for a relaxed structure of Mg2InBi2.

As for the formation energy: -0.05 eV/atom. As for the total moment: 0.00 μB/f.u.

The space group is I4/mmm (No. 139) and the conventional cell measures 4.741, 4.741 and 13.942 Å, with angles of 90.00, 90.00 and 90.00 degrees. The asymmetric unit holds Mg at (0.000, 0.500, 0.250), In at (0.000, 0.000, 0.000) and Bi at (0.000, 0.000, 0.382).

***

(2)
A plane-wave DFT calculation with PBE-GGA was carried out for a relaxed structure of Mg3In4Bi5.

As for the formation energy: -0.01 eV/atom. As for the total moment: 0.00 μB/f.u.

The space group is P-1 (No. 2) and the conventional cell measures 5.649, 7.541 and 9.264 Å, with angles of 70.58, 73.51 and 88.24 degrees. The asymmetric unit holds Mg at (0.000, 0.000, 0.000), Mg at (0.211, 0.629, 0.531), In at (0.282, 0.071, 0.328), In at (0.370, 0.549, 0.198), Bi at (0.117, 0.680, 0.854), Bi at (0.226, 0.205, 0.622) and Bi at (0.500, 0.000, 0.000).

***

(3)
A plane-wave DFT calculation with PBE-GGA was carried out for a relaxed structure of MgIn2Bi2.

As for the formation energy: 0.11 eV/atom. As for the total moment: 0.00 μB/f.u. The value obtained for the energy above the lowest structure with this stoichiometry is 0.1143 eV per atom.

The space group is P4/mbm (No. 127) and the conventional cell measures 8.426, 8.426 and 4.131 Å, with angles of 90.00, 90.00 and 90.00 degrees. The asymmetric unit holds Mg at (0.000, 0.000, 0.000), In at (0.139, 0.361, 0.000) and Bi at (0.159, 0.659, 0.500).

***

(4)
A plane-wave DFT calculation with PBE-GGA was carried out for a relaxed structure of Mg5InBi.

As for the formation energy: -0.01 eV/atom. As for the total moment: 0.00 μB/f.u.

The space group is C2/c (No. 15) and the conventional cell measures 8.770, 8.307 and 10.078 Å, with angles of 90.00, 96.51 and 90.00 degrees. The asymmetric unit holds Mg at (0.000, 0.186, 0.250), Mg at (0.149, 0.395, 0.507), Mg at (0.188, 0.160, 0.777), In at (0.000, 0.468, 0.750) and Bi at (0.000, 0.000, 0.000).